1.
This record from Alexandria describes crystalline CaMo2AsPd at its relaxed geometry. The functional is PBE-GGA.

Unit cell a=4.6132 b=4.6132 c=5.0016 alpha=90.00 beta=90.00 gamma=90.00
Positions (direct):
1 Ca 0.0000 0.0000 0.0000
2 Mo 0.0000 0.5000 0.0000
3 Mo 0.5000 0.0000 0.0000
4 As 0.0000 0.0000 0.5000
5 Pd 0.5000 0.5000 0.5000

Summary:
Energy of formation = 1090 kJ/mol of formula units
Fermi-level density of states = 6.13 states/eV/f.u.

***

2.
This record from Alexandria describes crystalline Sm2TlCl8 at its relaxed geometry. The functional is PBE-GGA.

Unit cell a=7.1014 b=7.1014 c=7.1685 alpha=99.79 beta=99.79 gamma=76.03
Positions (direct):
1 Sm 0.1821 0.1821 0.4495
2 Sm 0.8179 0.8179 0.5505
3 Tl 0.5000 0.5000 0.0000
4 Cl 0.0593 0.0593 0.7401
5 Cl 0.1682 0.5500 0.6721
6 Cl 0.2973 0.2973 0.1554
7 Cl 0.4500 0.8318 0.3279
8 Cl 0.5500 0.1682 0.6721
9 Cl 0.7027 0.7027 0.8446
10 Cl 0.8318 0.4500 0.3279
11 Cl 0.9407 0.9407 0.2599

Summary:
Raw formation energy = -1.799 eV/atom
Fermi-level density of states = 4.60 states/eV/f.u.

***

3.
This record from Alexandria describes crystalline NdHf2Pt2 at its relaxed geometry. The functional is PBE-GGA.

Unit cell a=6.3150 b=6.3150 c=6.3150 alpha=137.22 beta=137.22 gamma=62.09
Positions (direct):
1 Nd 0.0000 0.0000 0.0000
2 Hf 0.2500 0.7500 0.5000
3 Hf 0.7500 0.2500 0.5000
4 Pt 0.3767 0.3767 0.0000
5 Pt 0.6233 0.6233 0.0000

Summary:
Energy of formation = -455 kJ/mol of formula units
Fermi-level density of states = 2.45 states/eV/f.u.

***

4.
This record from Alexandria describes crystalline MnAgSe2 at its relaxed geometry. The functional is PBE-GGA.

Unit cell a=3.2858 b=3.2858 c=8.1958 alpha=90.00 beta=90.00 gamma=120.00
Positions (direct):
1 Mn 0.0000 0.0000 0.0000
2 Ag 0.6667 0.3333 0.5267
3 Se 0.0000 0.0000 0.2768
4 Se 0.3333 0.6667 0.8360

Summary:
Raw formation energy = 0.181 eV/atom
Fermi-level density of states = 5.43 states/eV/f.u.

***

5.
This record from Alexandria describes crystalline ReBi2PdO8 at its relaxed geometry. The functional is PBE-GGA.

Unit cell a=4.9895 b=5.0217 c=7.1287 alpha=82.13 beta=82.02 gamma=85.71
Positions (direct):
1 Re 0.0000 0.0000 0.0000
2 Bi 0.4583 0.4604 0.2585
3 Bi 0.5417 0.5396 0.7415
4 Pd 0.0000 0.0000 0.5000
5 O 0.1234 0.1155 0.2193
6 O 0.2313 0.2223 0.8388
7 O 0.2810 0.7113 0.9992
8 O 0.2874 0.7077 0.5022
9 O 0.7126 0.2923 0.4978
10 O 0.7190 0.2887 0.0008
11 O 0.7687 0.7777 0.1612
12 O 0.8766 0.8845 0.7807

Summary:
Raw formation energy = -1.097 eV/atom
Fermi-level density of states = 4.67 states/eV/f.u.

***

6.
This record from Alexandria describes crystalline DyY3Tl2 at its relaxed geometry. The functional is PBE-GGA.

Unit cell a=9.0887 b=9.0887 c=9.0887 alpha=132.66 beta=69.99 gamma=131.65
Positions (direct):
1 Dy 0.0000 0.0000 0.0000
2 Dy 0.5000 0.5000 0.0000
3 Y 0.0294 0.2500 0.7794
4 Y 0.2500 0.7500 0.5000
5 Y 0.4706 0.2500 0.2206
6 Y 0.5294 0.7500 0.7794
7 Y 0.7500 0.2500 0.5000
8 Y 0.9706 0.7500 0.2206
9 Tl 0.1375 0.6945 0.8321
10 Tl 0.3625 0.1945 0.5570
11 Tl 0.6375 0.8055 0.4430
12 Tl 0.8625 0.3055 0.1679

Summary:
Energy of formation = -13 kJ/mol of formula units
Fermi-level density of states = 7.32 states/eV/f.u.

***

7.
This record from Alexandria describes crystalline Ag4C at its relaxed geometry. The functional is PBE-GGA.

Unit cell a=4.3382 b=4.3382 c=4.3382 alpha=90.00 beta=90.00 gamma=90.00
Positions (direct):
1 Ag 0.0000 0.0000 0.0000
2 Ag 0.0000 0.5000 0.5000
3 Ag 0.5000 0.0000 0.5000
4 Ag 0.5000 0.5000 0.0000
5 C 0.5000 0.5000 0.5000

Summary:
Energy of formation = 334 kJ/mol of formula units
Fermi-level density of states = 2.10 states/eV/f.u.

***

8.
This record from Alexandria describes crystalline CrSb3 at its relaxed geometry. The functional is PBE-GGA.

Unit cell a=5.1571 b=5.1571 c=3.7894 alpha=90.00 beta=90.00 gamma=102.54
Positions (direct):
1 Cr 0.0000 0.0000 0.0000
2 Sb 0.0000 0.5000 0.5000
3 Sb 0.5000 0.0000 0.5000
4 Sb 0.5000 0.5000 0.0000

Summary:
Raw formation energy = 0.385 eV/atom
Fermi-level density of states = 2.45 states/eV/f.u.

***

9.
This record from Alexandria describes crystalline SrScZn2Pt2 at its relaxed geometry. The functional is PBE-GGA.

Unit cell a=4.4509 b=4.4509 c=7.3215 alpha=90.00 beta=90.00 gamma=120.00
Positions (direct):
1 Sr 0.0000 0.0000 0.0000
2 Sc 0.0000 0.0000 0.5000
3 Zn 0.3333 0.6667 0.6967
4 Zn 0.6667 0.3333 0.3033
5 Pt 0.3333 0.6667 0.3176
6 Pt 0.6667 0.3333 0.6824

Summary:
Energy of formation = -463 kJ/mol of formula units
Fermi-level density of states = 4.38 states/eV/f.u.

***

10.
This record from Alexandria describes crystalline CaTmSn6 at its relaxed geometry. The functional is PBE-GGA.

Unit cell a=4.7115 b=4.7115 c=9.5300 alpha=90.00 beta=90.00 gamma=90.00
Positions (direct):
1 Ca 0.0000 0.0000 0.0000
2 Tm 0.0000 0.0000 0.5000
3 Sn 0.0000 0.5000 0.2537
4 Sn 0.0000 0.5000 0.7463
5 Sn 0.5000 0.0000 0.2537
6 Sn 0.5000 0.0000 0.7463
7 Sn 0.5000 0.5000 0.0000
8 Sn 0.5000 0.5000 0.5000

Summary:
Energy of formation = -298 kJ/mol of formula units
Fermi-level density of states = 2.52 states/eV/f.u.

***

11.
This record from Alexandria describes crystalline CeAlRu at its relaxed geometry. The functional is PBE-GGA.

Unit cell a=6.1460 b=6.1460 c=6.1460 alpha=150.32 beta=150.32 gamma=42.47
Positions (direct):
1 Ce 0.0000 0.0000 0.0000
2 Al 0.2822 0.2822 0.0000
3 Ru 0.6704 0.6704 0.0000

Summary:
Energy of formation = -132 kJ/mol of formula units
Fermi-level density of states = 4.09 states/eV/f.u.

***

12.
This record from Alexandria describes crystalline RbBaHf2 at its relaxed geometry. The functional is PBE-GGA.

Unit cell a=5.7565 b=5.7565 c=5.7565 alpha=60.00 beta=60.00 gamma=60.00
Positions (direct):
1 Rb 0.0000 0.0000 0.0000
2 Ba 0.5000 0.5000 0.5000
3 Hf 0.2500 0.2500 0.2500
4 Hf 0.7500 0.7500 0.7500

Summary:
Energy of formation = 584 kJ/mol of formula units
Fermi-level density of states = 5.88 states/eV/f.u.